(1)
# NdMg2ZnGa2, optimized geometry, DFT PBE
# energy of formation: 16 kJ/mol of formula units
# magnetization: 0.00 μB/cell
data_NdMg2ZnGa2
_chemical_formula_sum 'Nd1 Mg2 Zn1 Ga2'
_symmetry_space_group_name_H-M 'P 1'
_symmetry_Int_Tables_number 1
_symmetry_space_group_name_Hall 'P 1'
_cell_length_a 5.230
_cell_length_b 5.230
_cell_length_c 6.595
_cell_angle_alpha 113.36
_cell_angle_beta 113.36
_cell_angle_gamma 90.00
loop_
_atom_site_label
_atom_site_type_symbol
_atom_site_fract_x
_atom_site_fract_y
_atom_site_fract_z
Ga1 Ga 0.783 0.783 0.566
Ga2 Ga 0.217 0.217 0.434
Nd1 Nd 0.500 0.500 0.000
Mg1 Mg 0.750 0.250 0.500
Mg2 Mg 0.250 0.750 0.500
Zn1 Zn 0.000 0.000 0.000

(2)
# NdMg2Zn2Ga2, optimized geometry, DFT PBE
# energy of formation: -242 kJ/mol of formula units
# magnetization: 0.00 μB/cell
data_NdMg2Zn2Ga2
_chemical_formula_sum 'Nd1 Mg2 Zn2 Ga2'
_symmetry_space_group_name_H-M 'P 1'
_symmetry_Int_Tables_number 1
_symmetry_space_group_name_Hall 'P 1'
_cell_length_a 4.431
_cell_length_b 4.431
_cell_length_c 8.744
_cell_angle_alpha 75.32
_cell_angle_beta 75.32
_cell_angle_gamma 60.00
loop_
_atom_site_label
_atom_site_type_symbol
_atom_site_fract_x
_atom_site_fract_y
_atom_site_fract_z
Mg1 Mg 0.865 0.865 0.405
Mg2 Mg 0.135 0.135 0.595
Ga1 Ga 0.254 0.254 0.237
Ga2 Ga 0.746 0.746 0.763
Zn1 Zn 0.590 0.590 0.230
Zn2 Zn 0.410 0.410 0.770
Nd1 Nd 0.000 0.000 0.000

(3)
# NdMgZnGa2, optimized geometry, DFT PBE
# energy of formation: -222 kJ/mol of formula units
# magnetization: 0.00 μB/cell
data_NdMgZnGa2
_chemical_formula_sum 'Nd1 Mg1 Zn1 Ga2'
_symmetry_space_group_name_H-M 'P 1'
_symmetry_Int_Tables_number 1
_symmetry_space_group_name_Hall 'P 1'
_cell_length_a 4.269
_cell_length_b 4.269
_cell_length_c 6.416
_cell_angle_alpha 109.43
_cell_angle_beta 109.43
_cell_angle_gamma 90.00
loop_
_atom_site_label
_atom_site_type_symbol
_atom_site_fract_x
_atom_site_fract_y
_atom_site_fract_z
Zn1 Zn 0.250 0.750 0.500
Ga1 Ga 0.609 0.609 0.218
Ga2 Ga 0.391 0.391 0.782
Mg1 Mg 0.750 0.250 0.500
Nd1 Nd 0.000 0.000 0.000

(4)
# Mg2GaNi, optimized geometry, DFT PBE
# energy of formation: -53 kJ/mol of formula units
# magnetization: 0.00 μB/cell
data_Mg2GaNi
_chemical_formula_sum 'Mg2 Ga1 Ni1'
_symmetry_space_group_name_H-M 'P 1'
_symmetry_Int_Tables_number 1
_symmetry_space_group_name_Hall 'P 1'
_cell_length_a 3.714
_cell_length_b 4.173
_cell_length_c 4.173
_cell_angle_alpha 90.00
_cell_angle_beta 90.00
_cell_angle_gamma 90.00
loop_
_atom_site_label
_atom_site_type_symbol
_atom_site_fract_x
_atom_site_fract_y
_atom_site_fract_z
Mg1 Mg 0.000 0.500 0.000
Mg2 Mg 0.000 0.000 0.500
Ni1 Ni 0.500 0.500 0.500
Ga1 Ga 0.500 0.000 0.000

(5)
# MgGaNi3, optimized geometry, DFT PBE
# energy of formation: 178 kJ/mol of formula units
# polymorph energy (0 for the lowest one): 56 meV/atom
# magnetization: 0.00 μB/cell
data_MgGaNi3
_chemical_formula_sum 'Mg1 Ga1 Ni3'
_symmetry_space_group_name_H-M 'P 1'
_symmetry_Int_Tables_number 1
_symmetry_space_group_name_Hall 'P 1'
_cell_length_a 4.348
_cell_length_b 4.348
_cell_length_c 4.348
_cell_angle_alpha 90.00
_cell_angle_beta 90.00
_cell_angle_gamma 90.00
loop_
_atom_site_label
_atom_site_type_symbol
_atom_site_fract_x
_atom_site_fract_y
_atom_site_fract_z
Ni1 Ni 0.500 0.000 0.000
Ni2 Ni 0.000 0.500 0.000
Ni3 Ni 0.000 0.000 0.500
Mg1 Mg 0.500 0.500 0.500
Ga1 Ga 0.000 0.000 0.000

(6)
# Mg8Ga2Ni, optimized geometry, DFT PBE
# energy of formation: -104 kJ/mol of formula units
# magnetization: 0.00 μB/cell
data_Mg8Ga2Ni
_chemical_formula_sum 'Mg8 Ga2 Ni1'
_symmetry_space_group_name_H-M 'P 1'
_symmetry_Int_Tables_number 1
_symmetry_space_group_name_Hall 'P 1'
_cell_length_a 4.687
_cell_length_b 6.537
_cell_length_c 8.109
_cell_angle_alpha 112.31
_cell_angle_beta 106.80
_cell_angle_gamma 90.00
loop_
_atom_site_label
_atom_site_type_symbol
_atom_site_fract_x
_atom_site_fract_y
_atom_site_fract_z
Mg1 Mg 0.017 0.788 0.034
Mg2 Mg 0.347 0.074 0.693
Mg3 Mg 0.811 0.746 0.623
Mg4 Mg 0.653 0.926 0.307
Mg5 Mg 0.983 0.212 0.966
Mg6 Mg 0.398 0.579 0.796
Mg7 Mg 0.602 0.421 0.204
Mg8 Mg 0.189 0.254 0.377
Ga1 Ga 0.821 0.320 0.642
Ga2 Ga 0.179 0.680 0.358
Ni1 Ni 0.500 0.000 0.000

(7)
# MgGa4Ni, optimized geometry, DFT PBE
# energy of formation: -84 kJ/mol of formula units
# magnetization: 0.00 μB/cell
data_MgGa4Ni
_chemical_formula_sum 'Mg1 Ga4 Ni1'
_symmetry_space_group_name_H-M 'P 1'
_symmetry_Int_Tables_number 1
_symmetry_space_group_name_Hall 'P 1'
_cell_length_a 4.037
_cell_length_b 4.037
_cell_length_c 7.002
_cell_angle_alpha 90.00
_cell_angle_beta 90.00
_cell_angle_gamma 90.00
loop_
_atom_site_label
_atom_site_type_symbol
_atom_site_fract_x
_atom_site_fract_y
_atom_site_fract_z
Mg1 Mg 0.000 0.000 0.000
Ni1 Ni 0.500 0.500 0.500
Ga1 Ga 0.000 0.500 0.700
Ga2 Ga 0.500 0.000 0.700
Ga3 Ga 0.500 0.000 0.300
Ga4 Ga 0.000 0.500 0.300

(8)
# Mg3Ga2Ni4, optimized geometry, DFT PBE
# energy of formation: -231 kJ/mol of formula units
# magnetization: 0.00 μB/cell
data_Mg3Ga2Ni4
_chemical_formula_sum 'Mg3 Ga2 Ni4'
_symmetry_space_group_name_H-M 'P 1'
_symmetry_Int_Tables_number 1
_symmetry_space_group_name_Hall 'P 1'
_cell_length_a 4.031
_cell_length_b 4.907
_cell_length_c 7.783
_cell_angle_alpha 97.14
_cell_angle_beta 90.00
_cell_angle_gamma 114.25
loop_
_atom_site_label
_atom_site_type_symbol
_atom_site_fract_x
_atom_site_fract_y
_atom_site_fract_z
Mg1 Mg 0.377 0.753 0.606
Mg2 Mg 0.623 0.247 0.394
Mg3 Mg 0.000 0.000 0.000
Ni1 Ni 0.726 0.451 0.086
Ni2 Ni 0.913 0.826 0.366
Ni3 Ni 0.274 0.549 0.914
Ni4 Ni 0.087 0.174 0.634
Ga1 Ga 0.690 0.380 0.770
Ga2 Ga 0.310 0.620 0.230

> Which formula does entry 6 have?

Mg8Ga2Ni